(1)
Compound: CsPaAsO5
Source: Alexandria via LeMat-Bulk
Functional: PBE
Structure: relaxed

Results
- raw formation energy (meV/atom) = -2243
- Fermi-level density of states (states/eV/f.u.) = 2.6
- DFT total energy (eV per atom) = -7.217
- crystal system = monoclinic

Cell: 7.858 10.388 8.260 Å, 90.00 116.39 90.00°
Space group C2/c (No. 15)
Unique sites:
Cs1 0.000 0.167 0.250 [4 per cell]
Pa1 0.000 0.500 0.000 [4 per cell]
As1 0.000 0.191 0.750 [4 per cell]
O1 0.000 0.448 0.250 [4 per cell]
O2 0.075 0.301 0.613 [8 per cell]
O3 0.201 0.082 0.884 [8 per cell]

---

(2)
Compound: CsAs2PbO8
Source: Alexandria via LeMat-Bulk
Functional: PBE
Structure: relaxed

Results
- raw formation energy (meV/atom) = -1075
- Fermi-level density of states (states/eV/f.u.) = 7.4
- DFT total energy (eV per atom) = -5.535
- crystal system = trigonal

Cell: 5.2461 5.2461 28.5695 Å, 90.00 90.00 120.00°
Space group R32 (No. 155, hexagonal axes)
Unique sites:
Cs1 0.0000 0.0000 0.0000 [3 per cell]
As1 0.0000 0.0000 0.2344 [6 per cell]
Pb1 0.0000 0.0000 0.5000 [3 per cell]
O1 0.0000 0.0000 0.2938 [6 per cell]
O2 0.0083 0.3651 0.8820 [18 per cell]

---

(3)
Compound: Cs2AsPbO4
Source: Alexandria via LeMat-Bulk
Functional: PBE
Structure: relaxed

Results
- raw formation energy (meV/atom) = -1176
- Fermi-level density of states (states/eV/f.u.) = 2.9
- DFT total energy (eV per atom) = -4.913
- crystal system = orthorhombic

Cell: 6.424 12.640 23.324 Å, 90.00 90.00 90.00°
Space group Fddd (No. 70, origin choice 2)
Unique sites:
Cs1 0.125 0.125 0.309 [16 per cell]
As1 0.125 0.125 0.625 [8 per cell]
Pb1 0.125 0.125 0.125 [8 per cell]
O1 0.037 0.293 0.835 [32 per cell]

---

(4)
Compound: CsAs2Pb2O6
Source: Alexandria via LeMat-Bulk
Functional: PBE
Structure: relaxed

Results
- raw formation energy (meV/atom) = -1232
- Fermi-level density of states (states/eV/f.u.) = 3.3
- DFT total energy (eV per atom) = -5.534
- crystal system = triclinic

Cell: 5.478 7.264 7.286 Å, 110.64 110.20 91.34°
Space group P-1 (No. 2)
Unique sites:
Cs1 0.000 0.000 0.000 [1 per cell]
As1 0.358 0.296 0.781 [2 per cell]
Pb1 0.284 0.724 0.564 [2 per cell]
O1 0.019 0.282 0.741 [2 per cell]
O2 0.364 0.312 0.541 [2 per cell]
O3 0.432 0.061 0.778 [2 per cell]

---

(5)
Compound: CsAs2Pb2O7
Source: Alexandria via LeMat-Bulk
Functional: PBE
Structure: relaxed

Results
- raw formation energy (meV/atom) = -1259
- Fermi-level density of states (states/eV/f.u.) = 2.9
- DFT total energy (eV per atom) = -5.615
- crystal system = trigonal

Cell: 5.8660 5.8660 27.6718 Å, 90.00 90.00 120.00°
Space group R32 (No. 155, hexagonal axes)
Unique sites:
Cs1 0.0000 0.0000 0.0000 [3 per cell]
As1 0.0000 0.0000 0.4303 [6 per cell]
Pb1 0.0000 0.0000 0.2122 [6 per cell]
O1 0.0000 0.0000 0.5000 [3 per cell]
O2 0.0211 0.4444 0.0739 [18 per cell]

---

(6)
Compound: CsAsPbO4
Source: Alexandria via LeMat-Bulk
Functional: PBE
Structure: relaxed

Results
- raw formation energy (meV/atom) = -1483
- Fermi-level density of states (states/eV/f.u.) = 0.0
- DFT total energy (eV per atom) = -5.633
- crystal system = monoclinic

Cell: 6.581 6.157 8.161 Å, 90.00 110.52 90.00°
Space group P2_1/m (No. 11)
Unique sites:
Cs1 0.199 0.250 0.457 [2 per cell]
As1 0.235 0.750 0.177 [2 per cell]
Pb1 0.281 0.250 0.992 [2 per cell]
O1 0.055 0.750 0.961 [2 per cell]
O2 0.082 0.750 0.309 [2 per cell]
O3 0.402 0.523 0.211 [4 per cell]

---

(7)
Compound: Cs2As4Pd3O14
Source: Alexandria via LeMat-Bulk
Functional: PBE
Structure: relaxed

Results
- raw formation energy (meV/atom) = -1125
- Fermi-level density of states (states/eV/f.u.) = 0.5
- DFT total energy (eV per atom) = -5.703
- crystal system = tetragonal

Cell: 16.530 16.530 6.243 Å, 90.00 90.00 90.00°
Space group P4/n (No. 85, origin choice 2)
Unique sites:
Cs1 0.012 0.671 0.030 [8 per cell]
As1 0.093 0.822 0.500 [8 per cell]
As2 0.099 0.167 0.419 [8 per cell]
Pd1 0.000 0.000 0.500 [4 per cell]
Pd2 0.250 0.250 0.195 [2 per cell]
Pd3 0.250 0.250 0.647 [2 per cell]
Pd4 0.250 0.750 0.267 [4 per cell]
O1 0.009 0.214 0.525 [8 per cell]
O2 0.067 0.076 0.315 [8 per cell]
O3 0.074 0.598 0.492 [8 per cell]
O4 0.128 0.227 0.208 [8 per cell]
O5 0.129 0.782 0.736 [8 per cell]
O6 0.131 0.784 0.264 [8 per cell]
O7 0.160 0.337 0.636 [8 per cell]

---

(8)
Compound: Cs2AsPdO4
Source: Alexandria via LeMat-Bulk
Functional: PBE
Structure: relaxed

Results
- raw formation energy (meV/atom) = -1130
- Fermi-level density of states (states/eV/f.u.) = 3.7
- DFT total energy (eV per atom) = -5.053
- crystal system = orthorhombic

Cell: 5.840 12.642 20.761 Å, 90.00 90.00 90.00°
Space group Fddd (No. 70, origin choice 2)
Unique sites:
Cs1 0.125 0.125 0.299 [16 per cell]
As1 0.125 0.125 0.625 [8 per cell]
Pd1 0.125 0.125 0.125 [8 per cell]
O1 0.060 0.293 0.833 [32 per cell]

---

(9)
Compound: CsPmAs2O8
Source: Alexandria via LeMat-Bulk
Functional: PBE
Structure: relaxed

Results
- raw formation energy (meV/atom) = -1586
- Fermi-level density of states (states/eV/f.u.) = 12.7
- DFT total energy (eV per atom) = -6.134
- crystal system = trigonal

Cell: 5.9673 5.9673 8.6741 Å, 90.00 90.00 120.00°
Space group P-3 (No. 147)
Unique sites:
Cs1 0.0000 0.0000 0.0000 [1 per cell]
Pm1 0.0000 0.0000 0.5000 [1 per cell]
As1 0.3333 0.6667 0.7273 [2 per cell]
O1 0.1715 0.8188 0.6653 [6 per cell]
O2 0.3333 0.6667 0.9264 [2 per cell]

---

(10)
Compound: CsPmAsO4
Source: Alexandria via LeMat-Bulk
Functional: PBE
Structure: relaxed

Results
- raw formation energy (meV/atom) = -1853
- Fermi-level density of states (states/eV/f.u.) = 3.0
- DFT total energy (eV per atom) = -6.151
- crystal system = cubic

Cell: 9.296 9.296 9.296 Å, 90.00 90.00 90.00°
Space group F-43m (No. 216)
Unique sites:
Cs1 0.000 0.000 0.000 [4 per cell]
Pm1 0.250 0.250 0.750 [4 per cell]
As1 0.000 0.000 0.500 [4 per cell]
O1 0.114 0.114 0.614 [16 per cell]

---

(11)
Compound: CsPrAsO4
Source: Alexandria via LeMat-Bulk
Functional: PBE
Structure: relaxed

Results
- raw formation energy (meV/atom) = -1816
- Fermi-level density of states (states/eV/f.u.) = 3.3
- DFT total energy (eV per atom) = -6.118
- crystal system = cubic

Cell: 9.383 9.383 9.383 Å, 90.00 90.00 90.00°
Space group F-43m (No. 216)
Unique sites:
Cs1 0.000 0.000 0.000 [4 per cell]
Pr1 0.250 0.250 0.750 [4 per cell]
As1 0.000 0.000 0.500 [4 per cell]
O1 0.112 0.112 0.612 [16 per cell]

---

(12)
Compound: CsPr2AsO5
Source: Alexandria via LeMat-Bulk
Functional: PBE
Structure: relaxed

Results
- raw formation energy (meV/atom) = -2191
- Fermi-level density of states (states/eV/f.u.) = 0.2
- DFT total energy (eV per atom) = -6.619
- crystal system = tetragonal

Cell: 6.998 6.998 6.127 Å, 90.00 90.00 90.00°
Space group P4/mbm (No. 127)
Unique sites:
Cs1 0.000 0.000 0.000 [2 per cell]
Pr1 0.178 0.322 0.500 [4 per cell]
As1 0.000 0.500 0.000 [2 per cell]
O1 0.000 0.000 0.500 [2 per cell]
O2 0.133 0.633 0.256 [8 per cell]

---

(13)
Compound: CsPuAsO6
Source: Alexandria via LeMat-Bulk
Functional: PBE
Structure: relaxed

Results
- raw formation energy (meV/atom) = -1822
- Fermi-level density of states (states/eV/f.u.) = 3.9
- DFT total energy (eV per atom) = -7.331
- crystal system = trigonal

Cell: 5.3475 5.3475 6.8012 Å, 90.00 90.00 120.00°
Space group P312 (No. 149)
Unique sites:
Cs1 0.0000 0.0000 0.0000 [1 per cell]
Pu1 0.3333 0.6667 0.5000 [1 per cell]
As1 0.6667 0.3333 0.5000 [1 per cell]
O1 0.3929 0.0280 0.6579 [6 per cell]

---

(14)
Compound: Cs2PuAsO6
Source: Alexandria via LeMat-Bulk
Functional: PBE
Structure: relaxed

Results
- raw formation energy (meV/atom) = -1835
- Fermi-level density of states (states/eV/f.u.) = 1.9
- DFT total energy (eV per atom) = -6.879
- crystal system = tetragonal

Cell: 5.816 5.816 11.087 Å, 90.00 90.00 90.00°
Space group I4/mmm (No. 139)
Unique sites:
Cs1 0.000 0.500 0.250 [4 per cell]
Pu1 0.000 0.000 0.000 [2 per cell]
As1 0.000 0.000 0.500 [2 per cell]
O1 0.000 0.000 0.169 [4 per cell]
O2 0.220 0.220 0.500 [8 per cell]

---

(15)
Compound: CsPuAs2O8
Source: Alexandria via LeMat-Bulk
Functional: PBE
Structure: relaxed

Results
- raw formation energy (meV/atom) = -1751
- Fermi-level density of states (states/eV/f.u.) = 7.0
- DFT total energy (eV per atom) = -7.097
- crystal system = trigonal

Cell: 5.7537 5.7537 27.7565 Å, 90.00 90.00 120.00°
Space group R-3m (No. 166, hexagonal axes)
Unique sites:
Cs1 0.0000 0.0000 0.0000 [3 per cell]
Pu1 0.0000 0.0000 0.5000 [3 per cell]
As1 0.0000 0.0000 0.2357 [6 per cell]
O1 0.0000 0.0000 0.2957 [6 per cell]
O2 0.0103 0.5051 0.8789 [18 per cell]

---

(16)
Compound: Cs2Rb2AsO4
Source: Alexandria via LeMat-Bulk
Functional: PBE
Structure: relaxed

Results
- raw formation energy (meV/atom) = -925
- Fermi-level density of states (states/eV/f.u.) = 2.6
- DFT total energy (eV per atom) = -4.050
- crystal system = tetragonal

Cell: 6.701 6.701 9.091 Å, 90.00 90.00 90.00°
Space group I4/mmm (No. 139)
Unique sites:
Cs1 0.000 0.500 0.250 [4 per cell]
Rb1 0.000 0.000 0.160 [4 per cell]
As1 0.000 0.000 0.500 [2 per cell]
O1 0.202 0.202 0.500 [8 per cell]

---

(17)
Compound: Cs3RbAs2O6
Source: Alexandria via LeMat-Bulk
Functional: PBE
Structure: relaxed

Results
- raw formation energy (meV/atom) = -1481
- Fermi-level density of states (states/eV/f.u.) = 1.3
- DFT total energy (eV per atom) = -5.029
- crystal system = trigonal

Cell: 6.7102 6.7102 8.0090 Å, 90.00 90.00 120.00°
Space group P-3m1 (No. 164)
Unique sites:
Cs1 0.0000 0.0000 0.0000 [1 per cell]
Cs2 0.3333 0.6667 0.6687 [2 per cell]
Rb1 0.0000 0.0000 0.5000 [1 per cell]
As1 0.3333 0.6667 0.2098 [2 per cell]
O1 0.1918 0.3837 0.2792 [6 per cell]